No. 1
Density functional theory data (PBE) for crystalline InTeAuI2 at its relaxed geometry.

Properties
* SG: P4/mmm, No. 123
* total moment: 0.000 μB/f.u.
* energy above the most stable polymorph in this dataset: 0.000 eV per atom

a = 5.6931 Å, b = 5.5711 Å, c = 5.6931 Å
α = 90.00°, β = 90.00°, γ = 90.00°
Sites, in units of the cell vectors:
I 0.0000 0.0000 0.5000
I 0.5000 0.0000 0.0000
Te 0.0000 0.5000 0.0000
Au 0.0000 0.0000 0.0000
In 0.5000 0.5000 0.5000


No. 2
Density functional theory data (PBE) for crystalline Ta4Mo5 at its relaxed geometry.

Properties
* SG: I4/mmm, No. 139
* total moment: 0.000 μB/f.u.
* energy above the most stable polymorph in this dataset: 0.000 eV per atom
* formation energy from the elements: -0.13 eV/atom

a = 3.2156 Å, b = 7.0420 Å, c = 7.0420 Å
α = 92.99°, β = 103.20°, γ = 76.80°
Sites, in units of the cell vectors:
Mo 0.0000 0.0000 0.0000
Mo 0.3339 0.0000 0.6678
Mo 0.3339 0.3322 0.0000
Mo 0.6661 0.6678 0.0000
Mo 0.6661 0.0000 0.3322
Ta 0.0000 0.3263 0.3263
Ta 0.0000 0.6737 0.6737
Ta 0.3263 0.6737 0.3263
Ta 0.6737 0.3263 0.6737


No. 3
Density functional theory data (PBE) for crystalline MgUBe17 at its relaxed geometry.

Properties
* SG: R3m, No. 160
* total moment: 1.930 μB/f.u.
* formation energy from the elements: 0.03 eV/atom

a = 5.7520 Å, b = 5.7520 Å, c = 5.7520 Å
α = 83.22°, β = 83.22°, γ = 83.22°
Sites, in units of the cell vectors:
Mg 0.3431 0.3431 0.3431
U 0.6560 0.6560 0.6560
Be 0.2849 0.0029 0.7148
Be 0.7148 0.2849 0.0029
Be 0.0029 0.7148 0.2849
Be 0.2849 0.7148 0.0029
Be 0.0029 0.2849 0.7148
Be 0.7148 0.0029 0.2849
Be 0.3398 0.8522 0.3398
Be 0.3398 0.3398 0.8522
Be 0.8522 0.3398 0.3398
Be 0.6594 0.1551 0.6594
Be 0.6594 0.6594 0.1551
Be 0.1551 0.6594 0.6594
Be 0.9930 0.5058 0.9930
Be 0.9930 0.9930 0.5058
Be 0.5058 0.9930 0.9930
Be 0.9019 0.9019 0.9019
Be 0.0962 0.0962 0.0962


No. 4
Density functional theory data (PBE) for crystalline MgOsW at its relaxed geometry.

Properties
* SG: Fmm2, No. 42
* total moment: 0.000 μB/f.u.
* energy above the most stable polymorph in this dataset: 0.182 eV per atom
* formation energy from the elements: 0.33 eV/atom

a = 7.3176 Å, b = 7.1129 Å, c = 2.7518 Å
α = 83.22°, β = 74.85°, γ = 21.93°
Sites, in units of the cell vectors:
Mg 0.9965 0.9965 0.0035
Os 0.3291 0.3291 0.6709
W 0.6744 0.6744 0.3256


No. 5
Density functional theory data (PBE) for crystalline LiSi2Se at its relaxed geometry.

Properties
* SG: R-3m, No. 166
* total moment: 0.000 μB/f.u.
* final energy: -3.651 eV per atom

a = 9.1215 Å, b = 9.1215 Å, c = 9.1215 Å
α = 18.46°, β = 18.46°, γ = 18.46°
Sites, in units of the cell vectors:
Li 0.7500 0.7500 0.7500
Se 0.2500 0.2500 0.2500
Si 0.0033 0.0033 0.0033
Si 0.4967 0.4967 0.4967


No. 6
Density functional theory data (PBE) for crystalline ZnP2Rh2 at its relaxed geometry.

Properties
* SG: I4/mmm, No. 139
* total moment: 0.000 μB/f.u.
* energy above the most stable polymorph in this dataset: 0.000 eV per atom
* formation energy from the elements: -0.40 eV/atom

a = 4.1668 Å, b = 4.1668 Å, c = 5.2428 Å
α = 66.59°, β = 66.59°, γ = 90.00°
Sites, in units of the cell vectors:
P 0.3768 0.3768 0.2465
P 0.6232 0.6232 0.7535
Zn 0.0000 0.0000 0.0000
Rh 0.7500 0.2500 0.5000
Rh 0.2500 0.7500 0.5000


What did the sixth record say?
Density functional theory data (PBE) for crystalline ZnP2Rh2 at its relaxed geometry.

Properties
* SG: I4/mmm, No. 139
* total moment: 0.000 μB/f.u.
* energy above the most stable polymorph in this dataset: 0.000 eV per atom
* formation energy from the elements: -0.40 eV/atom

a = 4.1668 Å, b = 4.1668 Å, c = 5.2428 Å
α = 66.59°, β = 66.59°, γ = 90.00°
Sites, in units of the cell vectors:
P 0.3768 0.3768 0.2465
P 0.6232 0.6232 0.7535
Zn 0.0000 0.0000 0.0000
Rh 0.7500 0.2500 0.5000
Rh 0.2500 0.7500 0.5000


Q: total moment of number 4 (MgOsW)?
A: 0.000 μB/f.u.